# 1
First-principles (GGA-PBE) data for CaCr2Hg after structural relaxation, as listed in Alexandria via LeMat-Bulk.

Summary:
* DOS(E_F): 0.838 states/eV/atom
* formation enthalpy at 0 K: 0.78 eV/atom
* VASP energy: -4.611 eV/atom

Structure (CIF):
```
data_CaCr2Hg
_chemical_formula_sum 'Ca3 Cr6 Hg3'
_symmetry_space_group_name_H-M 'R -3 m'
_symmetry_Int_Tables_number 166
_symmetry_space_group_name_Hall '-R 3 2"'
_cell_length_a 3.3960
_cell_length_b 3.3960
_cell_length_c 28.2528
_cell_angle_alpha 90.00
_cell_angle_beta 90.00
_cell_angle_gamma 120.00
loop_
_atom_site_label
_atom_site_type_symbol
_atom_site_fract_x
_atom_site_fract_y
_atom_site_fract_z
_atom_site_occupancy
Ca1 Ca 0.0000 0.0000 0.0000 1
Cr1 Cr 0.0000 0.0000 0.2415 1
Hg1 Hg 0.0000 0.0000 0.5000 1
```

# 2
First-principles (GGA-PBE) data for Ca2Cr2Hg after structural relaxation, as listed in Alexandria via LeMat-Bulk.

Summary:
* DOS(E_F): 1.012 states/eV/atom
* energy relative to the lowest polymorph listed for this composition: 118.5 kJ/mol of formula units
* formation enthalpy at 0 K: 0.62 eV/atom
* VASP energy: -4.095 eV/atom

Structure (CIF):
```
data_Ca2Cr2Hg
_chemical_formula_sum 'Ca4 Cr4 Hg2'
_symmetry_space_group_name_H-M 'P 4/m b m'
_symmetry_Int_Tables_number 127
_symmetry_space_group_name_Hall '-P 4 2ab'
_cell_length_a 8.761
_cell_length_b 8.761
_cell_length_c 3.336
_cell_angle_alpha 90.00
_cell_angle_beta 90.00
_cell_angle_gamma 90.00
loop_
_atom_site_label
_atom_site_type_symbol
_atom_site_fract_x
_atom_site_fract_y
_atom_site_fract_z
_atom_site_occupancy
Ca1 Ca 0.204 0.296 0.000 1
Cr1 Cr 0.072 0.572 0.500 1
Hg1 Hg 0.000 0.000 0.000 1
```

# 3
First-principles (GGA-PBE) data for CaCr2Hg after structural relaxation, as listed in Alexandria via LeMat-Bulk.

Summary:
* DOS(E_F): 0.800 states/eV/atom
* formation enthalpy at 0 K: 0.37 eV/atom
* VASP energy: -5.016 eV/atom

Structure (CIF):
```
data_CaCr2Hg
_chemical_formula_sum 'Ca2 Cr4 Hg2'
_symmetry_space_group_name_H-M 'I m m 2'
_symmetry_Int_Tables_number 44
_cell_length_a 4.367
_cell_length_b 4.912
_cell_length_c 7.799
_cell_angle_alpha 90.00
_cell_angle_beta 90.00
_cell_angle_gamma 90.00
loop_
_symmetry_equiv_pos_as_xyz
'x,y,z'
'-x,-y,z'
'-x,y,z'
'x,-y,z'
'x+1/2,y+1/2,z+1/2'
'-x+1/2,-y+1/2,z+1/2'
'-x+1/2,y+1/2,z+1/2'
'x+1/2,-y+1/2,z+1/2'
loop_
_atom_site_label
_atom_site_type_symbol
_atom_site_fract_x
_atom_site_fract_y
_atom_site_fract_z
_atom_site_occupancy
Ca1 Ca 0.000 0.000 0.000 1
Cr1 Cr 0.000 0.000 0.465 1
Cr2 Cr 0.000 0.500 0.771 1
Hg1 Hg 0.000 0.500 0.228 1
```

# 4
First-principles (GGA-PBE) data for CaCr3Hg after structural relaxation, as listed in Alexandria via LeMat-Bulk.

Summary:
* DOS(E_F): 0.831 states/eV/atom
* energy relative to the lowest polymorph listed for this composition: 0.0 kJ/mol of formula units
* formation enthalpy at 0 K: 1.13 eV/atom
* VASP energy: -5.103 eV/atom

Structure (CIF):
```
data_CaCr3Hg
_chemical_formula_sum 'Ca1 Cr3 Hg1'
_symmetry_space_group_name_H-M 'P m -3 m'
_symmetry_Int_Tables_number 221
_symmetry_space_group_name_Hall '-P 4 2 3'
_cell_length_a 5.197
_cell_length_b 5.197
_cell_length_c 5.197
_cell_angle_alpha 90.00
_cell_angle_beta 90.00
_cell_angle_gamma 90.00
loop_
_atom_site_label
_atom_site_type_symbol
_atom_site_fract_x
_atom_site_fract_y
_atom_site_fract_z
_atom_site_occupancy
Ca1 Ca 0.000 0.000 0.000 1
Cr1 Cr 0.000 0.500 0.500 1
Hg1 Hg 0.500 0.500 0.500 1
```

# 5
First-principles (GGA-PBE) data for CaCrHg2 after structural relaxation, as listed in Alexandria via LeMat-Bulk.

Summary:
* DOS(E_F): 0.535 states/eV/atom
* formation enthalpy at 0 K: 0.05 eV/atom
* VASP energy: -3.010 eV/atom

Structure (CIF):
```
data_CaCrHg2
_chemical_formula_sum 'Ca1 Cr1 Hg2'
_symmetry_space_group_name_H-M 'P 4/m m m'
_symmetry_Int_Tables_number 123
_symmetry_space_group_name_Hall '-P 4 2'
_cell_length_a 4.849
_cell_length_b 4.849
_cell_length_c 3.930
_cell_angle_alpha 90.00
_cell_angle_beta 90.00
_cell_angle_gamma 90.00
loop_
_atom_site_label
_atom_site_type_symbol
_atom_site_fract_x
_atom_site_fract_y
_atom_site_fract_z
_atom_site_occupancy
Ca1 Ca 0.000 0.000 0.000 1
Cr1 Cr 0.500 0.500 0.000 1
Hg1 Hg 0.000 0.500 0.500 1
```

# 6
First-principles (GGA-PBE) data for CaCrHg2 after structural relaxation, as listed in Alexandria via LeMat-Bulk.

Summary:
* DOS(E_F): 0.316 states/eV/atom
* formation enthalpy at 0 K: 0.10 eV/atom
* VASP energy: -2.958 eV/atom

Structure (CIF):
```
data_CaCrHg2
_chemical_formula_sum 'Ca4 Cr4 Hg8'
_symmetry_space_group_name_H-M 'F -4 3 m'
_symmetry_Int_Tables_number 216
_symmetry_space_group_name_Hall 'F -4 2 3'
_cell_length_a 7.115
_cell_length_b 7.115
_cell_length_c 7.115
_cell_angle_alpha 90.00
_cell_angle_beta 90.00
_cell_angle_gamma 90.00
loop_
_atom_site_label
_atom_site_type_symbol
_atom_site_fract_x
_atom_site_fract_y
_atom_site_fract_z
_atom_site_occupancy
Ca1 Ca 0.000 0.000 0.000 1
Cr1 Cr 0.250 0.250 0.750 1
Hg1 Hg 0.000 0.000 0.500 1
Hg2 Hg 0.250 0.250 0.250 1
```